# 1
A relaxed PrPuSn crystal, computed with PBE.

energy above the lowest structure with this stoichiometry = 0.000 eV per atom
total magnetization = 6.848 μB per cell

Cell: 5.174 5.174 5.174 Å, 60.00 60.00 60.00°
Fractional positions:
Pr 0.000 0.000 0.000
Pu 0.750 0.750 0.750
Sn 0.500 0.500 0.500



# 2
A relaxed SrPrPu crystal, computed with PBE.

total energy = -5.927 eV/atom
total magnetization = 8.640 μB per cell

Cell: 6.083 6.083 6.083 Å, 60.00 60.00 60.00°
Fractional positions:
Sr 0.000 0.000 0.000
Pr 0.750 0.750 0.750
Pu 0.500 0.500 0.500



# 3
A relaxed PrPuTa crystal, computed with PBE.

energy of formation = 1.166 eV per atom
total magnetization = 7.654 μB per cell

Cell: 4.991 4.991 4.991 Å, 60.00 60.00 60.00°
Fractional positions:
Pr 0.000 0.000 0.000
Pu 0.250 0.250 0.250
Ta 0.500 0.500 0.500



# 4
A relaxed TbPrPu crystal, computed with PBE.

energy of formation = 0.795 eV per atom
total magnetization = 7.255 μB per cell

Cell: 5.323 5.323 5.323 Å, 60.00 60.00 60.00°
Fractional positions:
Tb 0.000 0.000 0.000
Pr 0.750 0.750 0.750
Pu 0.500 0.500 0.500



# 5
A relaxed PrPuTe crystal, computed with PBE.

energy above the lowest structure with this stoichiometry = 0.000 eV per atom
total magnetization = 7.373 μB per cell

Cell: 5.235 5.235 5.235 Å, 60.00 60.00 60.00°
Fractional positions:
Pr 0.000 0.000 0.000
Pu 0.500 0.500 0.500
Te 0.250 0.250 0.250



# 6
A relaxed PrPuTh crystal, computed with PBE.

energy of formation = 0.724 eV per atom
total magnetization = 7.130 μB per cell

Cell: 5.186 5.186 5.186 Å, 60.00 60.00 60.00°
Fractional positions:
Pr 0.000 0.000 0.000
Pu 0.750 0.750 0.750
Th 0.500 0.500 0.500



# 7
A relaxed PrYPu crystal, computed with PBE.

energy above the lowest structure with this stoichiometry = 0.000 eV per atom
energy of formation = 0.774 eV per atom
total magnetization = 6.578 μB per cell

Cell: 5.398 5.398 5.398 Å, 60.00 60.00 60.00°
Fractional positions:
Pr 0.000 0.000 0.000
Y 0.500 0.500 0.500
Pu 0.750 0.750 0.750



# 8
A relaxed RbPr crystal, computed with PBE.

total energy = -1.703 eV/atom
total magnetization = 0.036 μB per cell

Cell: 5.144 5.144 5.144 Å, 60.00 60.00 60.00°
Fractional positions:
Rb 0.000 0.000 0.000
Pr 0.500 0.500 0.500



# 9
A relaxed RbPr crystal, computed with PBE.

total energy = -2.375 eV/atom
total magnetization = 0.008 μB per cell

Cell: 3.821 3.821 7.523 Å, 90.00 90.00 120.00°
Fractional positions:
Rb 0.000 0.000 0.000
Pr 0.333 0.667 0.500



# 10
A relaxed RbPr crystal, computed with PBE.

total energy = -1.078 eV/atom
total magnetization = 2.303 μB per cell

Cell: 6.166 6.166 6.166 Å, 60.00 60.00 60.00°
Fractional positions:
Rb 0.000 0.000 0.000
Pr 0.250 0.250 0.250



# 11
A relaxed Rb2PrScS4 crystal, computed with PBE.

total energy = -5.421 eV/atom
total magnetization = 0.001 μB per cell

Cell: 4.062 4.062 15.306 Å, 90.00 90.00 120.00°
Fractional positions:
Rb 0.333 0.667 0.259
Rb 0.667 0.333 0.741
Pr 0.000 0.000 0.000
Sc 0.000 0.000 0.500
S 0.333 0.667 0.586
S 0.333 0.667 0.895
S 0.667 0.333 0.105
S 0.667 0.333 0.414



# 12
A relaxed RbPrSeS crystal, computed with PBE.

total energy = -5.110 eV/atom
total magnetization = 0.001 μB per cell

Cell: 8.260 8.260 8.260 Å, 30.39 30.39 30.39°
Fractional positions:
Rb 0.000 0.000 0.000
Pr 0.495 0.495 0.495
Se 0.234 0.234 0.234
S 0.766 0.766 0.766



# 13
A relaxed RbPrSmS3 crystal, computed with PBE.

total energy = -5.377 eV/atom
total magnetization = 0.254 μB per cell

Cell: 8.120 8.120 10.829 Å, 90.00 90.00 146.49°
Fractional positions:
Rb 0.234 0.766 0.750
Rb 0.766 0.234 0.250
Pr 0.024 0.976 0.250
Pr 0.976 0.024 0.750
Sm 0.500 0.500 0.000
Sm 0.500 0.500 0.500
S 0.113 0.887 0.033
S 0.113 0.887 0.467
S 0.436 0.564 0.250
S 0.564 0.436 0.750
S 0.887 0.113 0.533
S 0.887 0.113 0.967



# 14
A relaxed RbPrSnS3 crystal, computed with PBE.

total energy = -5.030 eV/atom
total magnetization = 0.002 μB per cell

Cell: 12.319 4.162 15.440 Å, 90.00 90.02 90.00°
Fractional positions:
Rb 0.103 0.250 0.235
Rb 0.397 0.250 0.735
Rb 0.603 0.750 0.265
Rb 0.897 0.750 0.765
Pr 0.146 0.250 0.503
Pr 0.354 0.250 0.003
Pr 0.646 0.750 0.997
Pr 0.854 0.750 0.497
Sn 0.093 0.750 0.957
Sn 0.407 0.750 0.457
Sn 0.593 0.250 0.543
Sn 0.907 0.250 0.043
S 0.049 0.750 0.403
S 0.179 0.250 0.874
S 0.224 0.750 0.085
S 0.276 0.750 0.585
S 0.321 0.250 0.374
S 0.451 0.750 0.903
S 0.549 0.250 0.097
S 0.679 0.750 0.626
S 0.724 0.250 0.415
S 0.776 0.250 0.915
S 0.821 0.750 0.126
S 0.951 0.250 0.597